This record from the Alexandria database describes a relaxed structure of LaZnNi. The functional is GGA-PBEsol.

```
LaZnNi
1.0
-3.074 2.114 1.105
-3.935 -3.074 -5.066
0.340 -2.897 6.487
Zn La Ni
3 3 3
Direct
0.500 0.000 0.228
0.500 0.772 0.772
0.500 0.228 0.000
0.000 0.417 0.417
0.000 0.000 0.583
0.000 0.583 0.000
0.500 0.333 0.667
0.500 0.667 0.333
0.000 0.000 0.000
```

Computed properties:
- E_form (kJ/mol of formula units) = -106
- distance to the lowest polymorph of the same formula (meV/atom) = 0
- space group = P-62m, No. 189